12
Lattice="3.885 0.000 0.000 0.122 6.084 0.000 1.025 0.206 7.605" Properties=species:S:1:pos:R:3 comment="KNaCd2F8, relaxed, DFT GGA-PBE" formation_energy_uncorrected_ev_per_atom=-1.99 dft_energy_ev_per_cell=-43.07 sg="No. 2" pbc="T T T"
K 0.000 0.000 0.000
Na 0.513 0.103 3.802
Cd 2.107 2.945 1.878
Cd 2.925 3.345 5.727
F 0.859 1.821 5.437
F 1.000 4.592 5.506
F 2.355 1.726 3.941
F 2.025 4.353 0.122
F 3.007 1.937 7.483
F 2.677 4.564 3.664
F 4.032 1.698 2.099
F 4.173 4.469 2.168

4
Lattice="0.000 3.051 3.051 3.051 0.000 3.051 3.051 3.051 0.000" Properties=species:S:1:pos:R:3 comment="NbCl2O, relaxed, DFT GGA-PBE" formation_energy_uncorrected_ev_per_atom=-0.10 n_ef_per_ev_fu=1.9 dft_energy_ev_per_cell=-19.14 sg="No. 225" pbc="T T T"
Nb 0.000 0.000 0.000
Cl 1.525 1.525 1.525
Cl 4.576 4.576 4.576
O 3.051 3.051 3.051

12
Lattice="6.925 -2.372 0.000 6.925 2.372 0.000 -4.206 0.000 11.943" Properties=species:S:1:pos:R:3 comment="Na5Te5As2, relaxed, DFT GGA-PBE" formation_energy_uncorrected_ev_per_atom=-0.49 n_ef_per_ev_fu=1.7 dft_energy_ev_per_cell=-37.50 sg="No. 12" pbc="T T T"
Na 0.000 0.000 0.000
Na -0.134 0.000 6.450
Na -0.263 0.000 10.157
Na 9.906 0.000 1.786
Na 9.777 0.000 5.493
Te 1.055 0.000 3.449
Te 4.981 0.000 1.228
Te 4.822 0.000 5.972
Te 4.662 0.000 10.716
Te 8.589 0.000 8.494
As 3.222 0.000 8.462
As 6.422 0.000 3.482